No. 1
An optimized crystal structure of Tb3Mg3Cd2, computed with PBE.

As for the space-group type: Amm2, No. 38. For the energy above the lowest structure with this stoichiometry, the calculation gives 110 meV/atom. As for the calculated total energy: -2.6178 eV per atom.

Structure (POSCAR):
```
Tb3Mg3Cd2
1.0
-2.235 -4.809 -0.179
5.817 -2.635 -1.820
4.161 -2.110 4.725
Cd Mg Tb
2 3 3
direct
0.000 0.332 0.332
0.500 0.668 0.668
0.500 0.165 0.165
0.000 0.838 0.333
0.000 0.333 0.838
0.500 0.658 0.177
0.500 0.177 0.658
0.000 0.829 0.829
```



No. 2
An optimized crystal structure of SrHgSeO, computed with PBE.

As for the space-group type: Cmc2_1, No. 36. For the energy above the lowest structure with this stoichiometry, the calculation gives 62 meV/atom. As for the calculated total energy: -3.9471 eV per atom.

Structure (POSCAR):
```
SrHgSeO
1.0
-5.190 -5.703 -0.640
-1.706 -7.506 0.788
-1.876 1.045 5.896
Hg O Se Sr
2 2 2 2
direct
0.931 0.931 0.422
0.069 0.069 0.922
0.929 0.929 0.020
0.071 0.071 0.520
0.321 0.321 0.477
0.679 0.679 0.977
0.648 0.648 0.474
0.352 0.352 0.974
```



Which value of calculated total energy does entry 1 give?
-2.6178 eV per atom